# 1
Material: SiIr5
Method: DFT, GGA-PBE
State: optimized geometry

Cell: 7.270 7.270 7.270 Å, 90.00 90.00 90.00°
Space group F-43m (No. 216)
Unique sites:
Si (0.000, 0.000, 0.000) (multiplicity 4)
Ir (0.125, 0.125, 0.375) (multiplicity 16)
Ir (0.250, 0.250, 0.750) (multiplicity 4)

Computed properties:
For the uncorrected formation energy, the calculation gives 4.93 eV/f.u. For the total energy, the calculation gives -179.2 eV/cell.

---

# 2
Material: SiIr3
Method: DFT, GGA-PBE
State: optimized geometry

Cell: 5.457 7.462 2.765 Å, 90.00 90.00 90.00°
Space group Cmmm (No. 65)
Unique sites:
Si (0.000, 0.000, 0.000) (multiplicity 2)
Ir (0.000, 0.500, 0.000) (multiplicity 2)
Ir (0.250, 0.250, 0.500) (multiplicity 4)

Computed properties:
For the uncorrected formation energy, the calculation gives -0.66 eV/f.u. For the total energy, the calculation gives -65.3 eV/cell.

---

# 3
Material: Si2Ir
Method: DFT, GGA-PBE
State: optimized geometry

Cell: 9.665 2.927 7.315 Å, 90.00 124.67 90.00°
Space group C2/m (No. 12)
Unique sites:
Si (0.088, 0.000, 0.360) (multiplicity 4)
Si (0.125, 0.500, 0.998) (multiplicity 4)
Ir (0.175, 0.500, 0.687) (multiplicity 4)

Computed properties:
For the uncorrected formation energy, the calculation gives -0.86 eV/f.u. For the total energy, the calculation gives -82.3 eV/cell.